# CsMnH5S2O10

An optimized crystal structure of CsMnH5S2O10 (GGA+U, the Alexandria database).

Summary:
total DFT energy (no corrections)	-109.811	eV per cell
spin magnetization	0.2632	μB per atom

Cell lengths 4.9691, 5.9692, 8.7494 Å; angles 104.21, 95.82, 94.20 degrees
With the nearest neighbours (Å) after each atom.
Atoms (fractional coordinates):
Cs (0.0000, 0.0000, 0.0000)  10 O 3.15-3.38, 2 H 3.16-3.21
Mn (0.0064, 0.9987, 0.5079)  6 O 2.16-2.24
H (0.0051, 0.3485, 0.3447)  1 O 0.99
H (0.2913, 0.6627, 0.6382)  1 O 0.98
H (0.4948, 0.5175, 0.0160)  1 O 1.08
H (0.6967, 0.3073, 0.3680)  1 O 0.98
H (0.9823, 0.6418, 0.6651)  1 O 1.00
S (0.4340, 0.6798, 0.2697)  4 O 1.47-1.57
S (0.5729, 0.3106, 0.7408)  4 O 1.48-1.51
O (0.1310, 0.7487, 0.6452)  2 H 0.98-1.00
O (0.2701, 0.8746, 0.3199)  1 S 1.47
O (0.2972, 0.4504, 0.2635)  1 S 1.47
O (0.3153, 0.2748, 0.6308)  1 S 1.49
O (0.4802, 0.6851, 0.0959)  1 H 1.08
O (0.5104, 0.3051, 0.9056)  1 H 1.41, 1 S 1.51
O (0.7020, 0.7167, 0.3663)  1 S 1.47
O (0.7135, 0.5405, 0.7468)  1 S 1.48
O (0.7426, 0.1172, 0.6882)  1 S 1.49
O (0.8640, 0.2312, 0.3580)  2 H 0.98-0.99